The following is a PBE-GGA calculation of an optimized crystal structure of BaEuGa2, from Alexandria.

Unit cell a=3.953 b=3.953 c=7.775 alpha=90.00 beta=90.00 gamma=90.00
Space group P4/mmm (No. 123)
Unique sites:
Ba 0.000 0.000 0.000 [1 per cell]
Eu 0.000 0.000 0.500 [1 per cell]
Ga 0.500 0.500 0.295 [2 per cell]

As for the calculated volume: 30.4 Å³/atom. The density of states at the Fermi level comes out at 7.42 states/eV/f.u. The value obtained for the density is 5.86 g cm⁻³. The formation energy comes out at -388 meV/atom. As for the size of the total moment: 1.7514 μB per atom.

The following is a PBE-GGA calculation of an optimized crystal structure of Ba2EuGa, from Alexandria.

Unit cell a=4.129 b=4.129 c=10.365 alpha=90.00 beta=90.00 gamma=90.00
Space group P4/mmm (No. 123)
Unique sites:
Ba 0.000 0.000 0.186 [2 per cell]
Eu 0.500 0.500 0.500 [1 per cell]
Ga 0.500 0.500 0.000 [1 per cell]

As for the calculated volume: 44.2 Å³/atom. The density of states at the Fermi level comes out at 4.20 states/eV/f.u. The value obtained for the density is 4.66 g cm⁻³. The formation energy comes out at -144 meV/atom. As for the size of the total moment: 1.9614 μB per atom.

The following is a PBE-GGA calculation of an optimized crystal structure of BaEu3Ga, from Alexandria.

Unit cell a=6.095 b=6.095 c=6.095 alpha=90.00 beta=90.00 gamma=90.00
Space group Pm-3m (No. 221)
Unique sites:
Ba 0.000 0.000 0.000 [1 per cell]
Eu 0.000 0.500 0.500 [3 per cell]
Ga 0.500 0.500 0.500 [1 per cell]

As for the calculated volume: 45.3 Å³/atom. The density of states at the Fermi level comes out at 25.88 states/eV/f.u. The value obtained for the density is 4.86 g cm⁻³. The formation energy comes out at -72 meV/atom. As for the size of the total moment: 4.5627 μB per atom.